Record 1
An optimized crystal structure of Y4Sb3O. Source: the Alexandria database, functional PBE-GGA.

abc: 6.1606 6.1593 11.9706
angles: 90.00 90.00 90.00
Fractional coordinates of all 16 atoms:
Sb: 0.5629 0.7535 0.0000
Sb: 0.0591 0.7423 0.7503
Sb: 0.5591 0.2577 0.2503
Sb: 0.0591 0.7423 0.2497
Sb: 0.0629 0.2465 0.5000
Sb: 0.5591 0.2577 0.7497
Y: 0.0624 0.8447 0.0000
Y: 0.1571 0.7470 0.5000
Y: 0.5595 0.7575 0.2528
Y: 0.0595 0.2425 0.2472
Y: 0.6571 0.2530 0.0000
Y: 0.5595 0.7575 0.7472
Y: 0.0595 0.2425 0.7528
Y: 0.5624 0.1553 0.5000
O: 0.9955 0.1836 0.0000
O: 0.4955 0.8164 0.5000


Record 2
An optimized crystal structure of YSbO. Source: the Alexandria database, functional PBE-GGA.

Properties
energy above the most stable polymorph in this dataset	0.0938	eV/atom

abc: 3.8079 3.8079 10.2665
angles: 90.00 90.00 120.00
Fractional coordinates of all 6 atoms:
O: 0.6667 0.3333 0.9154
O: 0.3333 0.6667 0.0846
Y: 0.6667 0.3333 0.1422
Y: 0.3333 0.6667 0.8578
Sb: 0.6667 0.3333 0.5986
Sb: 0.3333 0.6667 0.4014


Record 3
An optimized crystal structure of Y3Sb2O. Source: the Alexandria database, functional PBE-GGA.

abc: 6.4869 6.9548 6.9548
angles: 107.58 90.00 90.00
Fractional coordinates of all 12 atoms:
Y: 0.5060 0.8464 0.1505
Y: 0.0060 0.1536 0.8495
Y: 0.0060 0.8495 0.1536
Y: 0.8103 0.6472 0.6472
Y: 0.3103 0.3528 0.3528
Y: 0.5060 0.1505 0.8464
Sb: 0.2478 0.8305 0.5244
Sb: 0.2478 0.5244 0.8305
Sb: 0.7478 0.4756 0.1695
Sb: 0.7478 0.1695 0.4756
O: 0.2500 0.0777 0.0777
O: 0.7500 0.9223 0.9223


Record 4
An optimized crystal structure of Y3Sb5O12. Source: the Alexandria database, functional PBE-GGA.

abc: 9.4423 9.4423 9.4423
angles: 109.47 109.47 109.47
Fractional coordinates of all 40 atoms:
O: 0.0000 0.5220 0.7989
O: 0.4973 0.0000 0.2952
O: 0.2952 0.0000 0.4973
O: 0.7048 0.2021 0.7048
O: 0.2769 0.4780 0.4780
O: 0.5027 0.5027 0.7979
O: 0.7979 0.5027 0.5027
O: 0.2021 0.7048 0.7048
O: 0.5027 0.7979 0.5027
O: 0.7989 0.0000 0.5220
O: 0.4780 0.2769 0.4780
O: 0.2952 0.4973 0.0000
O: 0.5220 0.7989 0.0000
O: 0.4973 0.2952 0.0000
O: 0.0000 0.7989 0.5220
O: 0.0000 0.2952 0.4973
O: 0.7989 0.5220 0.0000
O: 0.4780 0.4780 0.2769
O: 0.0000 0.4973 0.2952
O: 0.5220 0.0000 0.7989
O: 0.2011 0.7231 0.2011
O: 0.7231 0.2011 0.2011
O: 0.2011 0.2011 0.7231
O: 0.7048 0.7048 0.2021
Sb: 0.0000 0.2827 0.2827
Sb: 0.0000 0.0000 0.4862
Sb: 0.2827 0.0000 0.2827
Sb: 0.2827 0.2827 0.0000
Sb: 0.0000 0.7173 0.7173
Sb: 0.7173 0.0000 0.7173
Sb: 0.5138 0.5138 0.5138
Sb: 0.0000 0.4862 0.0000
Sb: 0.7173 0.7173 0.0000
Sb: 0.4862 0.0000 0.0000
Y: 0.7500 0.5000 0.2500
Y: 0.7500 0.2500 0.5000
Y: 0.5000 0.7500 0.2500
Y: 0.2500 0.7500 0.5000
Y: 0.5000 0.2500 0.7500
Y: 0.2500 0.5000 0.7500


Record 5
An optimized crystal structure of Y2SbO2. Source: the Alexandria database, functional PBE-GGA.

abc: 3.8714 3.8714 7.2291
angles: 74.47 74.47 90.00
Fractional coordinates of all 5 atoms:
O: 0.2500 0.7500 0.5000
O: 0.7500 0.2500 0.5000
Y: 0.6660 0.6660 0.6679
Y: 0.3340 0.3340 0.3321
Sb: 0.0000 0.0000 0.0000


Record 6
An optimized crystal structure of Y4Sb5O. Source: the Alexandria database, functional PBE-GGA.

abc: 3.5118 8.6886 9.1948
angles: 91.78 101.01 90.00
Fractional coordinates of all 10 atoms:
Sb: 0.5000 0.5000 0.0000
Sb: 0.1840 0.7897 0.3681
Sb: 0.8160 0.2103 0.6319
Sb: 0.1371 0.3804 0.2741
Sb: 0.8629 0.6196 0.7259
Y: 0.3447 0.9193 0.6894
Y: 0.6553 0.0807 0.3106
Y: 0.0171 0.8146 0.0342
Y: 0.9829 0.1854 0.9658
O: 0.5000 0.0000 0.0000


| no. | uncorrected formation energy (meV per atom) | N(E_F) (states/eV/f.u.) |
| --- | --- | --- |
| 1 | -1447 | 2.72 |
| 2 | -1939 | 1.17 |
| 3 | -1534 | 3.55 |
| 4 | -2232 | 0.00 |
| 5 | -2686 | 0.80 |
| 6 | -917 | 4.92 |